SrCd3Hg2 | GGA-PBE | optimized geometry

Cell: 9.282 9.282 7.655 Å, 108.51 108.51 30.17°
Atoms (fractional coordinates):
Sr1 0.117 0.117 0.177
Sr2 0.883 0.883 0.823
Cd1 0.072 0.072 0.673
Cd2 0.304 0.304 0.076
Cd3 0.370 0.370 0.491
Cd4 0.630 0.630 0.509
Cd5 0.696 0.696 0.924
Cd6 0.928 0.928 0.327
Hg1 0.239 0.239 0.666
Hg2 0.482 0.482 0.182
Hg3 0.518 0.518 0.818
Hg4 0.761 0.761 0.334

uncorrected energy: -1.09 eV per atom

=====

Ag2PtW | GGA-PBE | optimized geometry

Cell: 9.628 9.628 9.628 Å, 17.01 17.01 17.01°
Atoms (fractional coordinates):
Ag1 0.000 0.000 0.000
Ag2 0.248 0.248 0.248
Pt1 0.753 0.753 0.753
W1 0.496 0.496 0.496

relative energy among the computed polymorphs: 35 meV per atom
uncorrected energy: -6.02 eV per atom

=====

Ho3Tm5H12 | GGA-PBE | optimized geometry

Cell: 11.136 11.136 11.136 Å, 109.47 109.47 109.47°
Atoms (fractional coordinates):
Ho1 0.125 0.250 0.375
Ho2 0.125 0.375 0.750
Ho3 0.250 0.375 0.125
Ho4 0.250 0.875 0.625
Ho5 0.375 0.125 0.250
Ho6 0.375 0.750 0.125
Ho7 0.625 0.250 0.875
Ho8 0.625 0.875 0.750
Ho9 0.750 0.125 0.375
Ho10 0.750 0.625 0.875
Ho11 0.875 0.625 0.250
Ho12 0.875 0.750 0.625
Tm1 0.000 0.000 0.000
Tm2 0.000 0.000 0.500
Tm3 0.000 0.500 0.000
Tm4 0.000 0.500 0.500
Tm5 0.125 0.750 0.875
Tm6 0.125 0.875 0.250
Tm7 0.250 0.125 0.875
Tm8 0.250 0.625 0.375
Tm9 0.375 0.250 0.625
Tm10 0.375 0.625 0.750
Tm11 0.500 0.000 0.000
Tm12 0.500 0.000 0.500
Tm13 0.500 0.500 0.000
Tm14 0.500 0.500 0.500
Tm15 0.625 0.375 0.250
Tm16 0.625 0.750 0.375
Tm17 0.750 0.375 0.625
Tm18 0.750 0.875 0.125
Tm19 0.875 0.125 0.750
Tm20 0.875 0.250 0.125
H1 0.064 0.222 0.153
H2 0.064 0.342 0.911
H3 0.068 0.722 0.658
H4 0.068 0.847 0.411
H5 0.089 0.653 0.432
H6 0.089 0.936 0.658
H7 0.153 0.064 0.222
H8 0.153 0.589 0.932
H9 0.158 0.222 0.568
H10 0.158 0.436 0.589
H11 0.222 0.153 0.064
H12 0.222 0.568 0.158
H13 0.278 0.342 0.932
H14 0.278 0.436 0.347
H15 0.342 0.911 0.064
H16 0.342 0.932 0.278
H17 0.347 0.278 0.436
H18 0.347 0.568 0.911
H19 0.411 0.068 0.847
H20 0.411 0.842 0.564
H21 0.432 0.089 0.653
H22 0.432 0.842 0.778
H23 0.436 0.347 0.278
H24 0.436 0.589 0.158
H25 0.564 0.411 0.842
H26 0.564 0.653 0.722
H27 0.568 0.158 0.222
H28 0.568 0.911 0.347
H29 0.589 0.158 0.436
H30 0.589 0.932 0.153
H31 0.653 0.432 0.089
H32 0.653 0.722 0.564
H33 0.658 0.068 0.722
H34 0.658 0.089 0.936
H35 0.722 0.564 0.653
H36 0.722 0.658 0.068
H37 0.778 0.432 0.842
H38 0.778 0.847 0.936
H39 0.842 0.564 0.411
H40 0.842 0.778 0.432
H41 0.847 0.411 0.068
H42 0.847 0.936 0.778
H43 0.911 0.064 0.342
H44 0.911 0.347 0.568
H45 0.932 0.153 0.589
H46 0.932 0.278 0.342
H47 0.936 0.658 0.089
H48 0.936 0.778 0.847

uncorrected energy: -4.28 eV per atom

=====

Pr2SmErSe5 | GGA-PBE | optimized geometry

Cell: 5.093 5.093 10.877 Å, 90.00 90.00 90.00°
Atoms (fractional coordinates):
Pr1 0.000 0.000 0.184
Pr2 0.000 0.000 0.816
Sm1 0.500 0.500 0.500
Er1 0.500 0.500 0.000
Se1 0.000 0.000 0.500
Se2 0.000 0.500 0.000
Se3 0.500 0.000 0.000
Se4 0.500 0.500 0.251
Se5 0.500 0.500 0.749

uncorrected energy: -5.35 eV per atom

=====

Among the records above, which one has the highest uncorrected energy?
SrCd3Hg2